(1)
TlCoSN2: relaxed, PBEsol.

## Properties
- V: 13.33 A^3/atom
- SG: P4/mmm (123)
- Uncorrected formation energy: 4.25 eV/f.u.
- N(E_F): 4.390 states/eV/f.u.
- Electronic total energy: -5.511 eV/atom

a = 3.6890 Å, b = 3.6890 Å, c = 4.8978 Å
α = 90.00°, β = 90.00°, γ = 90.00°
Closest atoms and distances in Å follow each position.
Sites, in units of the cell vectors:
Tl  0.0000  0.0000  0.0000  4 S 2.61
Co  0.5000  0.5000  0.5000  4 N 1.84
S  0.5000  0.5000  0.0000  2 Co 2.45, 4 Tl 2.61
N  0.0000  0.5000  0.5000  2 Co 1.84
N  0.5000  0.0000  0.5000  2 Co 1.84


(2)
ReRu2Pb: relaxed, PBEsol.

## Properties
- V: 15.85 A^3/atom
- SG: Pmmm (47)
- N(E_F): 4.053 states/eV/f.u.
- Electronic total energy: -8.920 eV/atom
- Formation energy: 0.50 eV per atom

a = 2.8662 Å, b = 3.7441 Å, c = 5.9091 Å
α = 90.00°, β = 90.00°, γ = 90.00°
Closest atoms and distances in Å follow each position.
Sites, in units of the cell vectors:
Re  0.0000  0.0000  0.0000  8 Ru 2.70, 2 Re 2.87, 2 Pb 2.95
Ru  0.5000  0.5000  0.2212  3 Ru 2.61-2.87, 4 Re 2.70, 4 Pb 2.88
Ru  0.5000  0.5000  0.7788  3 Ru 2.61-2.87, 4 Re 2.70, 4 Pb 2.88
Pb  0.0000  0.0000  0.5000  2 Pb 2.87, 8 Ru 2.88, 2 Re 2.95


(3)
MgMn2P: relaxed, PBEsol.

## Properties
- V: 13.42 A^3/atom
- SG: Imm2 (44)
- N(E_F): 2.333 states/eV/f.u.
- Electronic total energy: -6.712 eV/atom
- Formation energy: 0.05 eV per atom

a = 4.9990 Å, b = 4.9990 Å, c = 4.9990 Å
α = 143.60°, β = 133.00°, γ = 60.87°
Closest atoms and distances in Å follow each position.
Sites, in units of the cell vectors:
Mg  0.0000  0.0000  0.0000  8 Mn 2.58-2.82, 2 P 2.68
Mn  0.2730  0.7730  0.5000  4 P 2.54, 2 Mn 2.71, 4 Mg 2.79-2.82
Mn  0.5603  0.5603  0.0000  2 P 2.24
P  0.7471  0.2471  0.5000  2 Mn 2.24


(4)
TaSbPb2: relaxed, PBEsol.

## Properties
- V: 23.86 A^3/atom
- SG: P4/mmm (123)
- Uncorrected formation energy: 2.53 eV/f.u.
- N(E_F): 2.586 states/eV/f.u.
- Electronic total energy: -5.644 eV/atom

a = 5.0924 Å, b = 5.0924 Å, c = 3.6798 Å
α = 90.00°, β = 90.00°, γ = 90.00°
Closest atoms and distances in Å follow each position.
Sites, in units of the cell vectors:
Ta  0.0000  0.0000  0.0000  8 Pb 3.14
Sb  0.5000  0.5000  0.0000  8 Pb 3.14
Pb  0.0000  0.5000  0.5000  4 Ta 3.14, 4 Sb 3.14
Pb  0.5000  0.0000  0.5000  4 Ta 3.14, 4 Sb 3.14


(5)
Sc2TeS: relaxed, PBEsol.

## Properties
- V: 29.91 A^3/atom
- SG: R-3m (166)
- Uncorrected formation energy: -3.58 eV/f.u.
- N(E_F): 1.324 states/eV/f.u.
- Electronic total energy: -6.176 eV/atom

a = 7.6817 Å, b = 7.6817 Å, c = 7.6817 Å
α = 33.00°, β = 33.00°, γ = 33.00°
Closest atoms and distances in Å follow each position.
Sites, in units of the cell vectors:
Sc  0.1067  0.1067  0.1067  1 S 2.32
Sc  0.8933  0.8933  0.8933  1 S 2.32
Te  0.5000  0.5000  0.5000  6 Sc 2.84
S  0.0000  0.0000  0.0000  2 Sc 2.32


(6)
Ca2TbMn3O9: relaxed, PBEsol.

## Properties
- V: 10.44 A^3/atom
- SG: Pnma (62)
- Uncorrected formation energy: -37.02 eV/f.u.
- N(E_F): 2.895 states/eV/f.u.
- Electronic total energy: -8.188 eV/atom

a = 16.0621 Å, b = 7.4440 Å, c = 5.2408 Å
α = 90.00°, β = 90.00°, γ = 90.00°
Closest atoms and distances in Å follow each position.
Sites, in units of the cell vectors:
Ca  0.0168  0.2500  0.0113  6 O 2.31-2.55
Ca  0.1814  0.2500  0.4881  6 O 2.30-2.53
Ca  0.3186  0.7500  0.9881  6 O 2.30-2.53
Ca  0.4832  0.7500  0.5113  6 O 2.31-2.55
Ca  0.5168  0.2500  0.4887  6 O 2.31-2.55
Ca  0.6814  0.2500  0.0119  6 O 2.30-2.53
Ca  0.8186  0.7500  0.5119  6 O 2.30-2.53
Ca  0.9832  0.7500  0.9887  6 O 2.31-2.55
Tb  0.1484  0.7500  0.5095  8 O 2.27-2.52
Tb  0.3516  0.2500  0.0095  8 O 2.27-2.52
Tb  0.6484  0.7500  0.9905  8 O 2.27-2.52
Tb  0.8516  0.2500  0.4905  8 O 2.27-2.52
Mn  0.0000  0.0000  0.5000  6 O 1.91-1.93
Mn  0.0000  0.5000  0.5000  6 O 1.91-1.93
Mn  0.1672  0.0009  0.9990  6 O 1.90-1.93
Mn  0.1672  0.4991  0.9990  6 O 1.90-1.93
Mn  0.3328  0.5009  0.4990  6 O 1.90-1.93
Mn  0.3328  0.9991  0.4990  6 O 1.90-1.93
Mn  0.5000  0.0000  0.0000  6 O 1.91-1.93
Mn  0.5000  0.5000  0.0000  6 O 1.91-1.93
Mn  0.6672  0.0009  0.5010  6 O 1.90-1.93
Mn  0.6672  0.4991  0.5010  6 O 1.90-1.93
Mn  0.8328  0.5009  0.0010  6 O 1.90-1.93
Mn  0.8328  0.9991  0.0010  6 O 1.90-1.93
O  0.0055  0.7500  0.4234  2 Mn 1.91
O  0.0720  0.5475  0.7856  2 Mn 1.92-1.93
O  0.0720  0.9525  0.7856  2 Mn 1.92-1.93
O  0.0982  0.0324  0.2933  2 Mn 1.91-1.93
O  0.0982  0.4676  0.2933  2 Mn 1.91-1.93
O  0.1613  0.2500  0.9232  2 Mn 1.90
O  0.1739  0.7500  0.0832  2 Mn 1.92
O  0.2349  0.5437  0.7011  2 Mn 1.92-1.93
O  0.2349  0.9563  0.7011  2 Mn 1.92-1.93
O  0.2651  0.0437  0.2011  2 Mn 1.92-1.93
O  0.2651  0.4563  0.2011  2 Mn 1.92-1.93
O  0.3261  0.2500  0.5832  2 Mn 1.92
O  0.3387  0.7500  0.4232  2 Mn 1.90
O  0.4018  0.5324  0.7933  2 Mn 1.91-1.93
O  0.4018  0.9676  0.7933  2 Mn 1.91-1.93
O  0.4280  0.0475  0.2856  2 Mn 1.92-1.93
O  0.4280  0.4525  0.2856  2 Mn 1.92-1.93
O  0.4945  0.2500  0.9234  2 Mn 1.91
O  0.5055  0.7500  0.0766  2 Mn 1.91
O  0.5720  0.5475  0.7144  2 Mn 1.92-1.93
O  0.5720  0.9525  0.7144  2 Mn 1.92-1.93
O  0.5982  0.0324  0.2067  2 Mn 1.91-1.93
O  0.5982  0.4676  0.2067  2 Mn 1.91-1.93
O  0.6613  0.2500  0.5768  2 Mn 1.90
O  0.6739  0.7500  0.4168  2 Mn 1.92
O  0.7349  0.5437  0.7989  2 Mn 1.92-1.93
O  0.7349  0.9563  0.7989  2 Mn 1.92-1.93
O  0.7651  0.0437  0.2989  2 Mn 1.92-1.93
O  0.7651  0.4563  0.2989  2 Mn 1.92-1.93
O  0.8261  0.2500  0.9168  2 Mn 1.92
O  0.8387  0.7500  0.0768  2 Mn 1.90
O  0.9018  0.5324  0.7067  2 Mn 1.91-1.93
O  0.9018  0.9676  0.7067  2 Mn 1.91-1.93
O  0.9280  0.0475  0.2144  2 Mn 1.92-1.93
O  0.9280  0.4525  0.2144  2 Mn 1.92-1.93
O  0.9945  0.2500  0.5766  2 Mn 1.91


(7)
BeFeSe: relaxed, PBEsol.

## Properties
- V: 13.91 A^3/atom
- SG: I4mm (107)
- Uncorrected formation energy: 0.55 eV/f.u.
- N(E_F): 1.147 states/eV/f.u.
- Electronic total energy: -5.423 eV/atom

a = 5.8142 Å, b = 5.8142 Å, c = 5.8142 Å
α = 152.54°, β = 152.54°, γ = 39.23°
Closest atoms and distances in Å follow each position.
Sites, in units of the cell vectors:
Be  0.0000  0.0000  0.0000  4 Fe 2.31, 1 Se 2.58
Fe  0.6123  0.6123  0.0000  4 Be 2.31, 4 Se 2.37
Se  0.2357  0.2357  0.0000  4 Fe 2.37, 1 Be 2.58


(8)
Y2B6Rh9: relaxed, PBEsol.

## Properties
- V: 13.22 A^3/atom
- SG: P6/mmm (191)
- N(E_F): 2.853 states/eV/f.u.
- Electronic total energy: -8.252 eV/atom
- Formation energy: -0.66 eV per atom

a = 5.5339 Å, b = 5.5339 Å, c = 8.4737 Å
α = 90.00°, β = 90.00°, γ = 120.00°
Closest atoms and distances in Å follow each position.
Sites, in units of the cell vectors:
Y  0.0000  0.0000  0.2056  12 Rh 2.98-3.27, 6 B 3.21
Y  0.0000  0.0000  0.7944  12 Rh 2.98-3.27, 6 B 3.21
B  0.3333  0.6667  0.1674  6 Rh 2.14
B  0.3333  0.6667  0.5000  6 Rh 2.12
B  0.3333  0.6667  0.8326  6 Rh 2.14
B  0.6667  0.3333  0.1674  6 Rh 2.14
B  0.6667  0.3333  0.5000  6 Rh 2.12
B  0.6667  0.3333  0.8326  6 Rh 2.14
Rh  0.0000  0.5000  0.0000  4 B 2.14
Rh  0.0000  0.5000  0.3359  4 B 2.12-2.14
Rh  0.0000  0.5000  0.6641  4 B 2.12-2.14
Rh  0.5000  0.0000  0.0000  4 B 2.14
Rh  0.5000  0.0000  0.3359  4 B 2.12-2.14
Rh  0.5000  0.0000  0.6641  4 B 2.12-2.14
Rh  0.5000  0.5000  0.0000  4 B 2.14
Rh  0.5000  0.5000  0.3359  4 B 2.12-2.14
Rh  0.5000  0.5000  0.6641  4 B 2.12-2.14